Material: MgCd5Ag4
Method: DFT, PBE-GGA
State: relaxed

As for the spin magnetization: 0.00 Bohr magnetons per cell. The energy above the most stable polymorph in this dataset comes out at 0.008 eV/atom. The value obtained for the calculated formation energy is -0.554 eV per formula unit. The calculation puts the density of states at the Fermi level at 6.3 states/eV per cell.

It has space group C2/m (No. 12), with a = 15.021 Å, b = 4.417 Å, c = 7.187 Å, α = 90.00°, β = 118.57° and γ = 90.00°. The inequivalent atoms are Mg at (0.000, 0.000, 0.000), Cd at (0.000, 0.000, 0.500), Cd at (0.171, 0.500, 0.624), Cd at (0.174, 0.500, 0.223), Ag at (0.020, 0.500, 0.779) and Ag at (0.174, 0.000, 0.928).